An optimized crystal structure of In2GaNiSn, computed with PBE.

Properties
M_tot = 0.00 μB/atom
formation energy from the elements = 15 kJ/mol of formula units

Cell and atoms, written as CIF:
```
data_In2GaNiSn
_chemical_formula_sum 'In2 Ga1 Ni1 Sn1'
_space_group_name_H-M_alt 'P 1'
_space_group_IT_number 1
_space_group_name_Hall 'P 1'
_cell_length_a 5.0715
_cell_length_b 5.0715
_cell_length_c 4.5759
_cell_angle_alpha 90.00
_cell_angle_beta 90.00
_cell_angle_gamma 90.00
loop_
_atom_site_label
_atom_site_fract_x
_atom_site_fract_y
_atom_site_fract_z
Ni1 0.0000 0.0000 0.0000
Sn1 0.5000 0.5000 0.5000
Ga1 0.0000 0.0000 0.5000
In1 0.0000 0.5000 0.0000
In2 0.5000 0.0000 0.0000
```